# Li2Ga2Br7 | Alexandria | PBE | optimized geometry
# * mass density: 3218 kg/m3
# * crystal system: monoclinic
# * ΔE_f (raw): -0.962 eV per atom
data_Li2Ga2Br7
_symmetry_space_group_name_H-M 'P 1'
_symmetry_Int_Tables_number 1
_cell_length_a 7.670
_cell_length_b 7.670
_cell_length_c 7.006
_cell_angle_alpha 108.42
_cell_angle_beta 108.42
_cell_angle_gamma 91.12
loop_
_symmetry_equiv_pos_as_xyz
'x,y,z'
loop_
_atom_site_label
_atom_site_type_symbol
_atom_site_fract_x
_atom_site_fract_y
_atom_site_fract_z
Li1 Li 0.184 0.816 0.000
Li2 Li 0.816 0.184 0.000
Ga1 Ga 0.301 0.301 0.605
Ga2 Ga 0.699 0.699 0.395
Br1 Br 0.072 0.072 0.280
Br2 Br 0.110 0.462 0.806
Br3 Br 0.462 0.110 0.806
Br4 Br 0.500 0.500 0.500
Br5 Br 0.538 0.890 0.194
Br6 Br 0.890 0.538 0.194
Br7 Br 0.928 0.928 0.720

***

# LiGa2Br | Alexandria | PBE | optimized geometry
# * mass density: 3812 kg/m3
# * crystal system: triclinic
# * ΔE_f (raw): -0.477 eV per atom
data_LiGa2Br
_symmetry_space_group_name_H-M 'P 1'
_symmetry_Int_Tables_number 1
_cell_length_a 4.340
_cell_length_b 4.343
_cell_length_c 6.523
_cell_angle_alpha 89.94
_cell_angle_beta 70.78
_cell_angle_gamma 60.05
loop_
_symmetry_equiv_pos_as_xyz
'x,y,z'
loop_
_atom_site_label
_atom_site_type_symbol
_atom_site_fract_x
_atom_site_fract_y
_atom_site_fract_z
Li1 Li 0.000 0.000 0.000
Ga1 Ga 0.110 0.449 0.341
Ga2 Ga 0.456 0.776 0.322
Br1 Br 0.780 0.608 0.829

***

# LiGa2Br | Alexandria | PBE | optimized geometry
# * mass density: 3733 kg/m3
# * crystal system: triclinic
# * ΔE_f (raw): -0.622 eV per atom
data_LiGa2Br
_symmetry_space_group_name_H-M 'P 1'
_symmetry_Int_Tables_number 1
_cell_length_a 4.047
_cell_length_b 4.403
_cell_length_c 12.758
_cell_angle_alpha 91.63
_cell_angle_beta 98.74
_cell_angle_gamma 115.70
loop_
_symmetry_equiv_pos_as_xyz
'x,y,z'
loop_
_atom_site_label
_atom_site_type_symbol
_atom_site_fract_x
_atom_site_fract_y
_atom_site_fract_z
Li1 Li 0.000 0.000 0.000
Li2 Li 0.499 0.708 0.269
Ga1 Ga 0.145 0.623 0.670
Ga2 Ga 0.184 0.908 0.483
Ga3 Ga 0.495 0.260 0.706
Ga4 Ga 0.526 0.539 0.505
Br1 Br 0.132 0.049 0.209
Br2 Br 0.640 0.345 0.948

***

# LiGaBr3 | Alexandria | PBE | optimized geometry
# * mass density: 3627 kg/m3
# * crystal system: monoclinic
# * ΔE_f (raw): -1.075 eV per atom
data_LiGaBr3
_symmetry_space_group_name_H-M 'P 1'
_symmetry_Int_Tables_number 1
_cell_length_a 6.707
_cell_length_b 10.629
_cell_length_c 8.149
_cell_angle_alpha 90.00
_cell_angle_beta 94.26
_cell_angle_gamma 90.00
loop_
_symmetry_equiv_pos_as_xyz
'x,y,z'
loop_
_atom_site_label
_atom_site_type_symbol
_atom_site_fract_x
_atom_site_fract_y
_atom_site_fract_z
Li1 Li 0.000 0.000 0.000
Li2 Li 0.000 0.500 0.000
Li3 Li 0.500 0.000 0.500
Li4 Li 0.500 0.500 0.500
Ga1 Ga 0.032 0.250 0.540
Ga2 Ga 0.133 0.250 0.259
Ga3 Ga 0.867 0.750 0.741
Ga4 Ga 0.968 0.750 0.460
Br1 Br 0.130 0.750 0.961
Br2 Br 0.179 0.070 0.690
Br3 Br 0.179 0.430 0.690
Br4 Br 0.325 0.750 0.432
Br5 Br 0.332 0.069 0.189
Br6 Br 0.332 0.431 0.189
Br7 Br 0.668 0.569 0.811
Br8 Br 0.668 0.931 0.811
Br9 Br 0.675 0.250 0.568
Br10 Br 0.821 0.570 0.310
Br11 Br 0.821 0.930 0.310
Br12 Br 0.870 0.250 0.039

***

Copy entry 2 word for word.
# LiGa2Br | Alexandria | PBE | optimized geometry
# * mass density: 3812 kg/m3
# * crystal system: triclinic
# * ΔE_f (raw): -0.477 eV per atom
data_LiGa2Br
_symmetry_space_group_name_H-M 'P 1'
_symmetry_Int_Tables_number 1
_cell_length_a 4.340
_cell_length_b 4.343
_cell_length_c 6.523
_cell_angle_alpha 89.94
_cell_angle_beta 70.78
_cell_angle_gamma 60.05
loop_
_symmetry_equiv_pos_as_xyz
'x,y,z'
loop_
_atom_site_label
_atom_site_type_symbol
_atom_site_fract_x
_atom_site_fract_y
_atom_site_fract_z
Li1 Li 0.000 0.000 0.000
Ga1 Ga 0.110 0.449 0.341
Ga2 Ga 0.456 0.776 0.322
Br1 Br 0.780 0.608 0.829

***

Question: Among the records above, which one has the highest mass density?
Answer: number 2

***

Question: Among the records above, which one has the highest mass density?
Answer: number 2

***

Question: What is the mass density in the second record?
Answer: 3812 kg/m3